1.
# Nd5Sm2Tm6

A geometry-optimized Nd5Sm2Tm6 structure (PBE, Alexandria via LeMat-Bulk).

It has space group Pbam (No. 55), with a = 11.669 Å, b = 20.497 Å, c = 3.590 Å, α = 90.00°, β = 90.00° and γ = 90.00°. The distinct sites, in fractional coordinates, are Nd at (0.000, 0.000, 0.000), Nd at (0.085, 0.275, 0.000), Nd at (0.200, 0.550, 0.000), Sm at (0.172, 0.714, 0.500), Tm at (0.061, 0.421, 0.500), Tm at (0.078, 0.133, 0.500) and Tm at (0.178, 0.867, 0.000).

For the formation energy from the elements, the calculation gives 0.10 eV/atom.

=====

2.
# Rb4Tm3HfSe8

A geometry-optimized Rb4Tm3HfSe8 structure (PBE, Alexandria via LeMat-Bulk).

It has space group R-3m (No. 166, hexagonal axes), with a = 8.2400 Å, b = 8.2400 Å, c = 23.9721 Å, α = 90.00°, β = 90.00° and γ = 120.00°. The distinct sites, in fractional coordinates, are Rb at (0.0000, 0.0000, 0.0000), Rb at (0.0000, 0.5000, 0.0000), Tm at (0.0000, 0.5000, 0.5000), Hf at (0.0000, 0.0000, 0.5000), Se at (0.0000, 0.0000, 0.2319) and Se at (0.0120, 0.5060, 0.2306).

For the formation energy from raw total energies, the calculation gives -36.599 kcal/mol of atoms.

=====

3.
# AlCdCo2Cl

A geometry-optimized AlCdCo2Cl structure (PBE, Alexandria via LeMat-Bulk).

It has space group P4/mmm (No. 123), with a = 4.129 Å, b = 4.129 Å, c = 5.738 Å, α = 90.00°, β = 90.00° and γ = 90.00°. The distinct sites, in fractional coordinates, are Al at (0.000, 0.000, 0.000), Cd at (0.500, 0.500, 0.000), Co at (0.000, 0.500, 0.500) and Cl at (0.500, 0.500, 0.500).

For the formation energy from raw total energies, the calculation gives 18.429 kcal/mol of atoms.

=====

4.
# FeSbSe2

A geometry-optimized FeSbSe2 structure (PBE, Alexandria via LeMat-Bulk).

It has space group Imm2 (No. 44), with a = 3.244 Å, b = 4.342 Å, c = 12.380 Å, α = 90.00°, β = 90.00° and γ = 90.00°. The distinct sites, in fractional coordinates, are Fe at (0.000, 0.000, 0.000), Sb at (0.000, 0.500, 0.694), Se at (0.000, 0.000, 0.548) and Se at (0.000, 0.500, 0.354).

For the formation energy from raw total energies, the calculation gives 2.313 kcal/mol of atoms.

=====

5.
# Co3HgRu

A geometry-optimized Co3HgRu structure (PBE, Alexandria via LeMat-Bulk).

It has space group Pm-3m (No. 221), with a = 4.661 Å, b = 4.661 Å, c = 4.661 Å, α = 90.00°, β = 90.00° and γ = 90.00°. The distinct sites, in fractional coordinates, are Co at (0.000, 0.000, 0.500), Hg at (0.000, 0.000, 0.000) and Ru at (0.500, 0.500, 0.500).

For the formation energy from the elements, the calculation gives 2.09 eV/atom. The polymorph energy (0 for the lowest one) is 0.730 eV/atom.

=====

6.
# AcCeCoRu

A geometry-optimized AcCeCoRu structure (PBE, Alexandria via LeMat-Bulk).

It has space group F-43m (No. 216), with a = 7.095 Å, b = 7.095 Å, c = 7.095 Å, α = 90.00°, β = 90.00° and γ = 90.00°. The distinct sites, in fractional coordinates, are Ac at (0.000, 0.000, 0.000), Ce at (0.000, 0.000, 0.500), Co at (0.250, 0.250, 0.750) and Ru at (0.250, 0.250, 0.250).

For the formation energy from the elements, the calculation gives 0.02 eV/atom.

=====

7.
# Ba2BeSiSe

A geometry-optimized Ba2BeSiSe structure (PBE, Alexandria via LeMat-Bulk).

It has space group P4/mmm (No. 123), with a = 6.209 Å, b = 6.209 Å, c = 4.865 Å, α = 90.00°, β = 90.00° and γ = 90.00°. The distinct sites, in fractional coordinates, are Ba at (0.000, 0.500, 0.000), Be at (0.000, 0.000, 0.500), Si at (0.500, 0.500, 0.500) and Se at (0.500, 0.500, 0.000).

For the formation energy from raw total energies, the calculation gives 2.697 kcal/mol of atoms.

=====

8.
# Sm6Er8Tm

A geometry-optimized Sm6Er8Tm structure (PBE, Alexandria via LeMat-Bulk).

It has space group P-3 (No. 147), with a = 9.4003 Å, b = 9.4003 Å, c = 6.5168 Å, α = 90.00°, β = 90.00° and γ = 120.00°. The distinct sites, in fractional coordinates, are Sm at (0.0874, 0.6790, 0.4051), Er at (0.0216, 0.3307, 0.1024), Er at (0.3333, 0.6667, 0.8437) and Tm at (0.0000, 0.0000, 0.5000).

For the formation energy from the elements, the calculation gives 0.24 eV/atom. The polymorph energy (0 for the lowest one) is 0.119 eV/atom.

=====

9.
# PmSc2Ni

A geometry-optimized PmSc2Ni structure (PBE, Alexandria via LeMat-Bulk).

It has space group Cmcm (No. 63), with a = 4.564 Å, b = 11.329 Å, c = 7.059 Å, α = 90.00°, β = 90.00° and γ = 90.00°. The distinct sites, in fractional coordinates, are Pm at (0.000, 0.047, 0.250), Sc at (0.000, 0.341, 0.036) and Ni at (0.000, 0.199, 0.750).

For the formation energy from the elements, the calculation gives -0.23 eV/atom. The polymorph energy (0 for the lowest one) is 0.000 eV/atom.

=====

10.
# TbPrThCd

A geometry-optimized TbPrThCd structure (PBE, Alexandria via LeMat-Bulk).

It has space group P4mm (No. 99), with a = 3.649 Å, b = 3.649 Å, c = 9.056 Å, α = 90.00°, β = 90.00° and γ = 90.00°. The distinct sites, in fractional coordinates, are Tb at (0.000, 0.000, 0.000), Pr at (0.000, 0.000, 0.534), Th at (0.500, 0.500, 0.261) and Cd at (0.500, 0.500, 0.779).

For the formation energy from the elements, the calculation gives -0.16 eV/atom. The polymorph energy (0 for the lowest one) is 0.000 eV/atom.

=====

11.
# Ac2MgPbO6

A geometry-optimized Ac2MgPbO6 structure (PBE, Alexandria via LeMat-Bulk).

It has space group P2_1/c (No. 14), with a = 5.880 Å, b = 5.994 Å, c = 10.204 Å, α = 90.00°, β = 124.96° and γ = 90.00°. The distinct sites, in fractional coordinates, are Ac at (0.238, 0.045, 0.249), Mg at (0.000, 0.000, 0.500), Pb at (0.500, 0.000, 0.000), O at (0.151, 0.211, 0.949), O at (0.238, 0.703, 0.950) and O at (0.338, 0.032, 0.745).

For the formation energy from raw total energies, the calculation gives -58.020 kcal/mol of atoms.

=====

12.
# Tl2Ir3O8

A geometry-optimized Tl2Ir3O8 structure (PBE, Alexandria via LeMat-Bulk).

It has space group P6_3mc (No. 186), with a = 6.2894 Å, b = 6.2894 Å, c = 12.7026 Å, α = 90.00°, β = 90.00° and γ = 120.00°. The distinct sites, in fractional coordinates, are Tl at (0.3333, 0.6667, 0.0000), Tl at (0.3333, 0.6667, 0.3998), Ir at (0.1655, 0.3310, 0.7069), O at (0.0000, 0.0000, 0.2857), O at (0.0390, 0.5195, 0.7840), O at (0.1498, 0.2996, 0.1311) and O at (0.3333, 0.6667, 0.6321).

For the formation energy from raw total energies, the calculation gives -15.443 kcal/mol of atoms.

=====

13.
# BaY2Mo

A geometry-optimized BaY2Mo structure (PBE, Alexandria via LeMat-Bulk).

It has space group Immm (No. 71), with a = 3.579 Å, b = 6.281 Å, c = 11.436 Å, α = 90.00°, β = 90.00° and γ = 90.00°. The distinct sites, in fractional coordinates, are Ba at (0.000, 0.000, 0.000), Y at (0.000, 0.500, 0.194) and Mo at (0.000, 0.000, 0.500).

For the formation energy from the elements, the calculation gives 0.58 eV/atom. The polymorph energy (0 for the lowest one) is 0.241 eV/atom.

=====

14.
# CuSbIr2

A geometry-optimized CuSbIr2 structure (PBE, Alexandria via LeMat-Bulk).

It has space group P4/mmm (No. 123), with a = 4.088 Å, b = 4.088 Å, c = 3.692 Å, α = 90.00°, β = 90.00° and γ = 90.00°. The distinct sites, in fractional coordinates, are Cu at (0.000, 0.000, 0.000), Sb at (0.500, 0.500, 0.000) and Ir at (0.000, 0.500, 0.500).

For the formation energy from raw total energies, the calculation gives 2.114 kcal/mol of atoms.

=====

15.
# Ba3Sn4Hg4

A geometry-optimized Ba3Sn4Hg4 structure (PBE, Alexandria via LeMat-Bulk).

It has space group Immm (No. 71), with a = 4.899 Å, b = 8.234 Å, c = 18.019 Å, α = 90.00°, β = 90.00° and γ = 90.00°. The distinct sites, in fractional coordinates, are Ba at (0.000, 0.000, 0.000), Ba at (0.000, 0.500, 0.150), Sn at (0.000, 0.316, 0.351), Hg at (0.000, 0.000, 0.205) and Hg at (0.000, 0.174, 0.500).

For the formation energy from the elements, the calculation gives -0.40 eV/atom. The polymorph energy (0 for the lowest one) is 0.084 eV/atom.

=====

16.
# BiMoOsRh2

A geometry-optimized BiMoOsRh2 structure (PBE, Alexandria via LeMat-Bulk).

It has space group P4/mmm (No. 123), with a = 4.729 Å, b = 4.729 Å, c = 5.169 Å, α = 90.00°, β = 90.00° and γ = 90.00°. The distinct sites, in fractional coordinates, are Bi at (0.000, 0.000, 0.000), Mo at (0.500, 0.500, 0.000), Os at (0.000, 0.000, 0.500) and Rh at (0.000, 0.500, 0.500).

For the formation energy from the elements, the calculation gives 1.64 eV/atom.

=====

17.
# Li2Bi2PbO6

A geometry-optimized Li2Bi2PbO6 structure (PBE, Alexandria via LeMat-Bulk).

It has space group P-3 (No. 147), with a = 5.5199 Å, b = 5.5199 Å, c = 7.0681 Å, α = 90.00°, β = 90.00° and γ = 120.00°. The distinct sites, in fractional coordinates, are Li at (0.3333, 0.6667, 0.3865), Bi at (0.3333, 0.6667, 0.8266), Pb at (0.0000, 0.0000, 0.5000) and O at (0.0081, 0.3345, 0.6768).

For the formation energy from raw total energies, the calculation gives -29.255 kcal/mol of atoms.

=====

18.
# ScHg

A geometry-optimized ScHg structure (PBE, Alexandria via LeMat-Bulk).

It has space group P6_3/mmc (No. 194), with a = 4.9014 Å, b = 4.9014 Å, c = 5.7768 Å, α = 90.00°, β = 90.00° and γ = 120.00°. The distinct sites, in fractional coordinates, are Sc at (0.3333, 0.6667, 0.2500) and Hg at (0.3333, 0.6667, 0.7500).

For the formation energy from the elements, the calculation gives 0.21 eV/atom.

=====

19.
# Dy2ZrZn

A geometry-optimized Dy2ZrZn structure (PBE, Alexandria via LeMat-Bulk).

It has space group P4/mmm (No. 123), with a = 3.420 Å, b = 3.420 Å, c = 8.499 Å, α = 90.00°, β = 90.00° and γ = 90.00°. The distinct sites, in fractional coordinates, are Dy at (0.000, 0.000, 0.228), Zr at (0.500, 0.500, 0.500) and Zn at (0.500, 0.500, 0.000).

For the formation energy from the elements, the calculation gives -0.12 eV/atom. The polymorph energy (0 for the lowest one) is 0.000 eV/atom.

=====

20.
# AlFe2As

A geometry-optimized AlFe2As structure (PBE, Alexandria via LeMat-Bulk).

It has space group R3m (No. 160, hexagonal axes), with a = 2.9177 Å, b = 2.9177 Å, c = 23.2163 Å, α = 90.00°, β = 90.00° and γ = 120.00°. The distinct sites, in fractional coordinates, are Al at (0.0000, 0.0000, 0.0000), Fe at (0.0000, 0.0000, 0.2521), Fe at (0.0000, 0.0000, 0.5098) and As at (0.0000, 0.0000, 0.7643).

For the formation energy from the elements, the calculation gives 0.07 eV/atom. The polymorph energy (0 for the lowest one) is 0.234 eV/atom.

=====

21.
# MgTe2Cl

A geometry-optimized MgTe2Cl structure (PBE, Alexandria via LeMat-Bulk).

It has space group C2/m (No. 12), with a = 12.709 Å, b = 3.566 Å, c = 4.957 Å, α = 90.00°, β = 100.52° and γ = 90.00°. The distinct sites, in fractional coordinates, are Mg at (0.000, 0.000, 0.000), Te at (0.197, 0.500, 0.170) and Cl at (0.000, 0.500, 0.500).

For the formation energy from raw total energies, the calculation gives -10.892 kcal/mol of atoms. The polymorph energy (0 for the lowest one) is 0.261 eV/atom.

=====

22.
# PrEr2Tm6Sc3

A geometry-optimized PrEr2Tm6Sc3 structure (PBE, Alexandria via LeMat-Bulk).

It has space group C2/m (No. 12), with a = 5.999 Å, b = 10.386 Å, c = 11.407 Å, α = 90.00°, β = 100.08° and γ = 90.00°. The distinct sites, in fractional coordinates, are Pr at (0.000, 0.000, 0.000), Er at (0.000, 0.333, 0.000), Tm at (0.246, 0.333, 0.740), Tm at (0.247, 0.000, 0.740), Sc at (0.000, 0.167, 0.500) and Sc at (0.000, 0.500, 0.500).

For the formation energy from the elements, the calculation gives 0.05 eV/atom.

=====

23.
# ZnCr2Ag

A geometry-optimized ZnCr2Ag structure (PBE, Alexandria via LeMat-Bulk).

It has space group Cmmm (No. 65), with a = 3.575 Å, b = 3.641 Å, c = 8.416 Å, α = 90.00°, β = 90.00° and γ = 90.00°. The distinct sites, in fractional coordinates, are Zn at (0.000, 0.000, 0.000), Cr at (0.000, 0.500, 0.237) and Ag at (0.000, 0.000, 0.500).

For the formation energy from the elements, the calculation gives 0.50 eV/atom.

=====

no.,M_tot (μB per formula unit)
1,0.0
2,0.0
3,2.2
4,2.7
5,7.7
6,0.6
7,0.0
8,0.0
9,0.0
10,0.0
11,0.0
12,0.9
13,0.0
14,0.0
15,0.0
16,3.4
17,0.0
18,0.0
19,0.0
20,4.6
21,0.0
22,0.0
23,0.0